No. 1
GGA-PBE SrVFe2N, optimized geometry; D(E_F) = 11.03 states/eV/cell; formation energy (no corrections) = 17.26 eV per formula unit; crystal system = tetragonal
1.0
4.6391 0.0000 0.0000
0.0000 4.8548 0.0000
0.0000 0.0000 4.6391
Sr N Fe V
1 1 2 1
direct
0.0000 0.0000 0.0000 Sr
0.5000 0.5000 0.5000 N
0.0000 0.0000 0.5000 Fe
0.5000 0.0000 0.0000 Fe
0.0000 0.5000 0.0000 V

No. 2
GGA-PBE TbHo2Tm6Sc3, optimized geometry; DFT formation energy = 0.04 eV per atom; D(E_F) = 18.58 states/eV/cell; crystal system = monoclinic
1.0
-4.3042 2.3180 -3.4399
-1.1940 -4.6711 3.5337
-1.0214 7.7724 8.2453
Tb Ho Tm Sc
1 2 6 3
direct
0.0000 0.0000 0.0000 Tb
0.3334 0.6666 0.0000 Ho
0.6666 0.3334 0.0000 Ho
0.9137 0.5803 0.7413 Tm
0.7530 0.7530 0.2587 Tm
0.0863 0.4197 0.2587 Tm
0.5803 0.9137 0.7413 Tm
0.2470 0.2470 0.7413 Tm
0.4197 0.0863 0.2587 Tm
0.1667 0.8333 0.5000 Sc
0.8333 0.1667 0.5000 Sc
0.5000 0.5000 0.5000 Sc

No. 3
GGA-PBE NaIn3F9, optimized geometry; D(E_F) = 2.22 states/eV/cell; formation energy (no corrections) = -32.06 eV per formula unit; crystal system = monoclinic
1.0
5.6686 0.0000 -0.2452
0.0000 8.0657 0.0000
-0.0441 0.0000 8.9793
Na In F
2 6 18
direct
0.0319 0.2500 0.4412 Na
0.9681 0.7500 0.5588 Na
0.0000 0.0000 0.0000 In
0.0000 0.5000 0.0000 In
0.4665 0.4966 0.6910 In
0.4665 0.0034 0.6910 In
0.5335 0.9966 0.3090 In
0.5335 0.5034 0.3090 In
0.1159 0.2500 0.9734 F
0.1404 0.9326 0.7873 F
0.1404 0.5674 0.7873 F
0.2661 0.9485 0.4759 F
0.2661 0.5515 0.4759 F
0.3252 0.2500 0.6512 F
0.3258 0.9378 0.1147 F
0.3258 0.5622 0.1147 F
0.3977 0.2500 0.3108 F
0.6023 0.7500 0.6892 F
0.6742 0.0622 0.8853 F
0.6742 0.4378 0.8853 F
0.6748 0.7500 0.3488 F
0.7339 0.0515 0.5241 F
0.7339 0.4485 0.5241 F
0.8596 0.0674 0.2127 F
0.8596 0.4326 0.2127 F
0.8841 0.7500 0.0266 F

No. 4
GGA-PBE ZrBe2Pb, optimized geometry; DFT formation energy = 0.27 eV per atom; D(E_F) = 1.00 states/eV/cell; crystal system = tetragonal
1.0
-2.7781 -1.1538 -0.8881
-0.7696 -0.4602 3.0056
-2.7447 6.3959 0.2766
Pb Be Zr
1 2 1
direct
0.0000 0.0000 0.4602 Pb
0.0000 0.0000 0.0543 Be
0.5000 0.5000 0.1794 Be
0.5000 0.5000 0.8060 Zr